Li4Mn3O7: optimized geometry, PBE+U.

Unit cell a=3.001 b=5.099 c=16.971 alpha=89.32 beta=88.63 gamma=88.24
Fractional positions:
Li  0.629  0.222  0.714
Li  0.000  0.000  0.000
Li  0.796  0.930  0.428
Li  0.204  0.070  0.572
Li  0.371  0.778  0.286
Li  0.028  0.346  0.864
Li  0.972  0.654  0.136
Li  0.500  0.500  0.000
Mn  0.703  0.571  0.572
Mn  0.469  0.138  0.136
Mn  0.297  0.429  0.428
Mn  0.101  0.709  0.718
Mn  0.899  0.291  0.282
Mn  0.531  0.862  0.864
O  0.972  0.300  0.079
O  0.038  0.002  0.794
O  0.281  0.732  0.499
O  0.874  0.594  0.355
O  0.318  0.126  0.356
O  0.465  0.443  0.213
O  0.028  0.700  0.921
O  0.535  0.557  0.787
O  0.682  0.874  0.644
O  0.719  0.268  0.501
O  0.126  0.406  0.645
O  0.517  0.158  0.923
O  0.962  0.998  0.206
O  0.483  0.842  0.077

## Properties
- V (A^3/atom) = 9.268
- energy above the lowest structure with this stoichiometry (meV per atom) = 27
- total energy (eV per atom) = -6.391
- total magnetization (μB/f.u.) = 11.0
- density (g cm⁻³) = 3.9